{
  "formula": "ScCuPb",
  "functional": "PBE",
  "state": "relaxed",
  "lattice_angstrom": [[-2.2930, -6.9985, 0.4730], [2.2448, -4.7513, -1.9137], [4.4807, -1.3413, 1.9115]],
  "species": ["Sc", "Sc", "Pb", "Pb", "Cu", "Cu"],
  "fractional_positions": [[0.8525, 0.2173, 0.5814], [0.5179, 0.2189, 0.0804], [0.2245, 0.7948, 0.2925], [0.5705, 0.7943, 0.7927], [0.0338, 0.5211, 0.1799], [0.0336, 0.5216, 0.6793]],
  "ef_mev_per_atom": -148
}



{
  "formula": "ScCuPb",
  "functional": "PBE",
  "state": "relaxed",
  "lattice_angstrom": [[4.4844, 0.0000, 0.0002], [0.0000, 6.4567, -0.0004], [0.0001, -0.0002, 4.4882]],
  "species": ["Sc", "Sc", "Pb", "Pb", "Cu", "Cu"],
  "fractional_positions": [[0.8138, 0.8078, 0.9205], [0.3141, 0.3078, 0.4205], [0.3138, 0.8078, 0.4205], [0.8140, 0.3078, 0.9206], [0.3139, 0.0580, 0.9204], [0.3139, 0.5580, 0.9204]],
  "ef_mev_per_atom": -173
}



Question: Which formula does entry 1 have?
Answer: ScCuPb